Below is a relaxed SrReRh4 crystal, with properties calculated at the PBE-GGA level.

Output
spin magnetization = 8.70 μB/cell
energy relative to the elements = 0.39 eV/atom
crystal system = cubic
density = 11.07 g/cm³

abc: 7.437 7.437 7.437
angles: 90.00 90.00 90.00
Space group F-43m (No. 216)
Unique sites:
Sr 0.000 0.000 0.000
Re 0.250 0.250 0.750
Rh 0.124 0.124 0.376